First-principles (PBE) data for a relaxed TlMo2Ru crystal, as listed in Alexandria via LeMat-Bulk.

Values from the calculation:
Energy of formation (meV per atom): 544
Total moment (μB/f.u.): 0.0
Density (g/cm³): 12.35
E_tot (Ry/atom): -0.57194
Distance to the lowest polymorph of the same formula (eV/atom): 0.153

Lattice parameters (Å, degrees): 4.9744 4.9744 4.9744 131.89 131.89 70.40
Fractional positions:
Mo: 0.0000 0.0000 0.0000
Mo: 0.2500 0.7500 0.5000
Ru: 0.5000 0.5000 0.0000
Tl: 0.7500 0.2500 0.5000